Er2TmFeCo8: relaxed, PBE-GGA.

Cell and atoms, written as CIF:
```
data_Er2TmFeCo8
_cell_length_a 4.9688
_cell_length_b 4.9688
_cell_length_c 23.9074
_cell_angle_alpha 90.00
_cell_angle_beta 90.00
_cell_angle_gamma 120.00
_symmetry_space_group_name_H-M 'R -3 m'
_symmetry_Int_Tables_number 166
_symmetry_space_group_name_Hall '-R 3 2"'
loop_
_atom_site_label
_atom_site_type_symbol
_atom_site_fract_x
_atom_site_fract_y
_atom_site_fract_z
Er1 Er 0.0000 0.0000 0.1395
Tm1 Tm 0.0000 0.0000 0.0000
Fe1 Fe 0.0000 0.0000 0.5000
Co1 Co 0.0000 0.0000 0.3343
Co2 Co 0.0034 0.5017 0.9181
```

Properties
The total DFT energy (no corrections) comes out at -243.6 eV for the cell shown. For the mass density, the calculation gives 10.0 Mg/m³.